HoEr3Ga2: optimized geometry, PBE.

Output
* energy relative to the lowest polymorph listed for this composition: 0.65 eV per formula unit
* SG: C2/m, No. 12
* crystal system: monoclinic
* formation energy from the elements: -0.33 eV/atom
* spin magnetization: 0.01 μB/f.u.
* N(E_F): 5.0 states/eV/f.u.

Unit cell a=5.0214 b=9.0033 c=8.7980 alpha=124.42 beta=90.00 gamma=106.19
Atoms (fractional coordinates):
Ga1 0.7727 0.5453 0.1603
Ga2 0.4835 0.9670 0.1194
Ga3 0.2273 0.4547 0.8397
Ga4 0.5165 0.0330 0.8806
Er1 0.6213 0.2427 0.7297
Er2 0.3128 0.6257 0.6177
Er3 0.3787 0.7573 0.2703
Er4 0.9385 0.8770 0.5944
Er5 0.0615 0.1230 0.4056
Er6 0.6872 0.3743 0.3823
Ho1 0.1298 0.2597 0.0705
Ho2 0.8702 0.7403 0.9295

=====

LiHoErGa: optimized geometry, PBE.

Output
* SG: F-43m, No. 216
* crystal system: cubic
* formation energy from the elements: -0.31 eV/atom
* spin magnetization: 0.00 μB/f.u.
* N(E_F): 3.0 states/eV/f.u.

Unit cell a=5.0579 b=5.0579 c=5.0579 alpha=60.00 beta=60.00 gamma=60.00
Atoms (fractional coordinates):
Ho1 0.0000 0.0000 0.0000
Li1 0.7500 0.7500 0.7500
Ga1 0.2500 0.2500 0.2500
Er1 0.5000 0.5000 0.5000

=====

Li2Ho2ErGa2: optimized geometry, PBE.

Output
* SG: R-3m, No. 166
* crystal system: trigonal
* formation energy from the elements: -0.27 eV/atom
* spin magnetization: 0.00 μB/f.u.
* N(E_F): 4.6 states/eV/f.u.

Unit cell a=4.5685 b=4.5685 c=9.1218 alpha=75.50 beta=75.50 gamma=60.00
Atoms (fractional coordinates):
Li1 0.6041 0.6041 0.1877
Li2 0.3959 0.3959 0.8123
Er1 0.0000 0.0000 0.0000
Ga1 0.2622 0.2622 0.2134
Ga2 0.7378 0.7378 0.7866
Ho1 0.8741 0.8741 0.3776
Ho2 0.1259 0.1259 0.6224

=====

HoErMgGa: optimized geometry, PBE.

Output
* SG: F-43m, No. 216
* crystal system: cubic
* formation energy from the elements: -0.33 eV/atom
* spin magnetization: 0.00 μB/f.u.
* N(E_F): 2.4 states/eV/f.u.

Unit cell a=5.1277 b=5.1277 c=5.1277 alpha=60.00 beta=60.00 gamma=60.00
Atoms (fractional coordinates):
Mg1 0.0000 0.0000 0.0000
Er1 0.7500 0.7500 0.7500
Ho1 0.2500 0.2500 0.2500
Ga1 0.5000 0.5000 0.5000

=====

HoEr2GaN: optimized geometry, PBE.

Output
* ΔE_f (raw): -997 meV per atom
* SG: P4/mmm, No. 123
* crystal system: tetragonal
* spin magnetization: 0.00 μB/f.u.
* N(E_F): 2.3 states/eV/f.u.

Unit cell a=4.7186 b=4.6935 c=4.6935 alpha=90.00 beta=90.00 gamma=90.00
Atoms (fractional coordinates):
Ga1 0.5000 0.5000 0.5000
N1 0.0000 0.0000 0.0000
Er1 0.0000 0.5000 0.0000
Er2 0.0000 0.0000 0.5000
Ho1 0.5000 0.0000 0.0000

=====

NdHoErGa: optimized geometry, PBE.

Output
* SG: F-43m, No. 216
* crystal system: cubic
* formation energy from the elements: -0.09 eV/atom
* spin magnetization: 0.79 μB/f.u.
* N(E_F): 6.4 states/eV/f.u.

Unit cell a=5.3564 b=5.3564 c=5.3564 alpha=60.00 beta=60.00 gamma=60.00
Atoms (fractional coordinates):
Er1 0.7500 0.7500 0.7500
Ga1 0.2500 0.2500 0.2500
Nd1 0.5000 0.5000 0.5000
Ho1 0.0000 0.0000 0.0000

=====

HoErGaOs: optimized geometry, PBE.

Output
* SG: F-43m, No. 216
* crystal system: cubic
* formation energy from the elements: -0.39 eV/atom
* spin magnetization: 0.00 μB/f.u.
* N(E_F): 2.7 states/eV/f.u.

Unit cell a=4.8912 b=4.8912 c=4.8912 alpha=60.00 beta=60.00 gamma=60.00
Atoms (fractional coordinates):
Ho1 0.0000 0.0000 0.0000
Ga1 0.2500 0.2500 0.2500
Er1 0.5000 0.5000 0.5000
Os1 0.7500 0.7500 0.7500

=====

HoErGaPd: optimized geometry, PBE.

Output
* energy relative to the lowest polymorph listed for this composition: 0.14 eV per formula unit
* SG: F-43m, No. 216
* crystal system: cubic
* formation energy from the elements: -0.72 eV/atom
* spin magnetization: 0.00 μB/f.u.
* N(E_F): 3.3 states/eV/f.u.

Unit cell a=4.9869 b=4.9869 c=4.9869 alpha=60.00 beta=60.00 gamma=60.00
Atoms (fractional coordinates):
Er1 0.5000 0.5000 0.5000
Ho1 0.0000 0.0000 0.0000
Ga1 0.2500 0.2500 0.2500
Pd1 0.7500 0.7500 0.7500

=====

HoErGaPd: optimized geometry, PBE.

Output
* energy relative to the lowest polymorph listed for this composition: 0.00 eV per formula unit
* SG: Amm2, No. 38
* crystal system: orthorhombic
* formation energy from the elements: -0.76 eV/atom
* spin magnetization: 0.00 μB/f.u.
* N(E_F): 2.9 states/eV/f.u.

Unit cell a=3.7007 b=4.4780 c=5.7677 alpha=90.00 beta=108.71 gamma=90.00
Atoms (fractional coordinates):
Pd1 0.5758 0.5000 0.1516
Ga1 0.4216 0.0000 0.8432
Ho1 0.1437 0.0000 0.2873
Er1 0.8589 0.5000 0.7178

=====

HoErGa2Pd2: optimized geometry, PBE.

Output
* SG: P-3m1, No. 164
* crystal system: trigonal
* formation energy from the elements: -0.86 eV/atom
* spin magnetization: 0.00 μB/f.u.
* N(E_F): 4.4 states/eV/f.u.

Unit cell a=4.4933 b=4.4933 c=6.7552 alpha=90.00 beta=90.00 gamma=120.00
Atoms (fractional coordinates):
Ga1 0.6667 0.3333 0.2524
Ga2 0.3333 0.6667 0.7476
Ho1 0.0000 0.0000 0.0000
Pd1 0.6667 0.3333 0.7467
Pd2 0.3333 0.6667 0.2533
Er1 0.0000 0.0000 0.5000

=====

PmHoErGa: optimized geometry, PBE.

Output
* SG: F-43m, No. 216
* crystal system: cubic
* formation energy from the elements: -0.03 eV/atom
* spin magnetization: 1.30 μB/f.u.
* N(E_F): 5.8 states/eV/f.u.

Unit cell a=5.3291 b=5.3291 c=5.3291 alpha=60.00 beta=60.00 gamma=60.00
Atoms (fractional coordinates):
Ga1 0.0000 0.0000 0.0000
Er1 0.7500 0.7500 0.7500
Pm1 0.5000 0.5000 0.5000
Ho1 0.2500 0.2500 0.2500

=====

PrHoErGa: optimized geometry, PBE.

Output
* SG: F-43m, No. 216
* crystal system: cubic
* formation energy from the elements: -0.08 eV/atom
* spin magnetization: 0.95 μB/f.u.
* N(E_F): 6.1 states/eV/f.u.

Unit cell a=5.3724 b=5.3724 c=5.3724 alpha=60.00 beta=60.00 gamma=60.00
Atoms (fractional coordinates):
Er1 0.0000 0.0000 0.0000
Pr1 0.5000 0.5000 0.5000
Ga1 0.2500 0.2500 0.2500
Ho1 0.7500 0.7500 0.7500